1.
! PaCo4P4, optimized geometry, DFT PBE-GGA; values from VASP
&SYSTEM
  ibrav = 0, nat = 18, ntyp = 3
/
ATOMIC_SPECIES
Co 58.93 Co.upf
P 30.97 P.upf
Pa 231.04 Pa.upf
CELL_PARAMETERS angstrom
5.6805 0.0000 0.0000
0.0000 5.6805 0.0000
0.0000 0.0000 7.3058
ATOMIC_POSITIONS angstrom
Co 0.0000 4.0909 2.8261
P 4.0844 0.0000 2.2905
Pa 2.8403 2.8403 3.6529
P 0.0000 4.0844 5.0153
Co 4.4299 2.8403 6.4790
P 2.8403 1.2441 5.9434
P 4.4364 2.8403 1.3624
Co 0.0000 1.5897 2.8261
Co 4.0909 0.0000 4.4797
P 1.5962 0.0000 2.2905
Co 1.5897 0.0000 4.4797
Co 2.8403 4.4299 0.8268
Co 2.8403 1.2506 0.8268
P 2.8403 4.4364 5.9434
P 1.2441 2.8403 1.3624
Co 1.2506 2.8403 6.4790
P 0.0000 1.5962 5.0153
Pa 0.0000 0.0000 0.0000
! Formation energy = -0.588 eV/atom
! Mass density = 8.3 Mg/m³
! Spin magnetization = 0.0 μB per cell

=====

2.
! PaCo5P3, optimized geometry, DFT PBE-GGA; values from VASP
&SYSTEM
  ibrav = 0, nat = 18, ntyp = 3
/
ATOMIC_SPECIES
Pa 231.04 Pa.upf
Co 58.93 Co.upf
P 30.97 P.upf
CELL_PARAMETERS angstrom
-3.1692 1.5717 0.4868
1.7624 -2.1315 5.2585
5.1932 9.7823 2.2248
ATOMIC_POSITIONS angstrom
Pa 2.4321 7.2011 5.6798
Co 0.9050 0.1942 5.2646
Pa 1.3543 2.0214 2.2903
P -0.1483 2.1869 5.0703
P 0.8456 4.9718 2.5497
Co 2.8814 9.0283 2.7054
Co 0.0000 0.0000 0.0000
Co 3.0504 5.0701 3.4890
P 3.9347 7.0356 2.8998
Co -1.0960 0.7016 3.6963
P -1.3353 0.8635 1.6153
Co 2.0112 2.2778 5.7385
Co 2.5966 4.8911 1.1124
P 5.1217 8.3589 6.3547
Co 1.7752 6.9447 2.2316
Co 4.8824 8.5209 4.2738
P 2.9407 4.2507 5.4204
Co 0.7360 4.1524 4.4811
! Formation energy = -0.749 eV/atom
! Mass density = 9.0 Mg/m³
! Spin magnetization = 0.0 μB per cell

=====

3.
! PaCo3P2, optimized geometry, DFT PBE-GGA; values from VASP
&SYSTEM
  ibrav = 0, nat = 18, ntyp = 3
/
ATOMIC_SPECIES
P 30.97 P.upf
Pa 231.04 Pa.upf
Co 58.93 Co.upf
CELL_PARAMETERS angstrom
-1.4937 -3.3829 0.2040
5.9637 -0.8943 -4.7843
3.2062 -0.9067 8.4396
ATOMIC_POSITIONS angstrom
P 2.4695 -1.1379 -0.7888
Pa 3.8786 -1.4464 4.4121
Co 3.5635 -1.5000 1.2171
Co 4.1960 -3.4831 6.5812
Pa 0.0000 0.0000 0.0000
P 5.5412 -2.3686 1.2923
Pa 3.7976 -3.7375 -0.5528
Co 6.5452 -2.6971 3.1964
P 5.2067 -4.0460 4.6481
P 2.1351 -2.8153 2.5670
Co 4.1128 -3.6839 2.6422
Co 6.1137 -4.6410 1.4224
P 2.1145 -2.5795 6.3246
Co 3.4802 -1.7008 -2.7220
P 5.5618 -2.6044 -2.4653
Co 0.8563 -2.1448 4.3218
Co 1.1311 -2.4868 0.6629
Co 1.5625 -0.5429 2.4369
! Formation energy = -0.894 eV/atom
! Energy relative to the lowest polymorph listed for this composition = 0 meV/atom
! Mass density = 9.8 Mg/m³
! Spin magnetization = 0.0 μB per cell

=====

4.
! PaCo3P, optimized geometry, DFT PBE-GGA; values from VASP
&SYSTEM
  ibrav = 0, nat = 10, ntyp = 3
/
ATOMIC_SPECIES
Pa 231.04 Pa.upf
Co 58.93 Co.upf
P 30.97 P.upf
CELL_PARAMETERS angstrom
4.9237 0.0000 0.0000
0.0000 7.7587 0.0000
-2.4618 -3.8794 3.6177
ATOMIC_POSITIONS angstrom
Pa 2.4618 3.8218 1.8088
Co 0.0000 5.2245 1.8088
Co 3.6927 1.9397 0.2691
Pa 0.0000 0.0575 1.8088
Co 2.4618 -1.3451 1.8088
Co 1.2309 1.9397 3.3486
Co -1.2309 1.9397 3.3486
P 0.0000 3.8794 0.0000
P 2.4618 0.0000 0.0000
Co 1.2309 1.9397 0.2691
! Formation energy = -0.553 eV/atom
! Energy relative to the lowest polymorph listed for this composition = 133 meV/atom
! Mass density = 10.5 Mg/m³
! Spin magnetization = 0.0 μB per cell

=====

5.
! Pa3Co4P2, optimized geometry, DFT PBE-GGA; values from VASP
&SYSTEM
  ibrav = 0, nat = 9, ntyp = 3
/
ATOMIC_SPECIES
Co 58.93 Co.upf
Pa 231.04 Pa.upf
P 30.97 P.upf
CELL_PARAMETERS angstrom
-2.3015 -1.1775 2.8544
5.1516 -1.4919 0.9403
-1.4725 7.7069 1.9920
ATOMIC_POSITIONS angstrom
Co 0.2278 2.8890 1.3754
Co 0.9605 5.9468 3.2275
Pa -1.0854 4.1831 3.4483
Co 0.4172 -0.9092 2.5592
Pa 0.0000 0.0000 0.0000
Co 1.1499 2.1486 4.4114
P -0.4472 1.1826 2.7252
Pa 2.4631 0.8545 2.3384
P 1.8249 3.8550 3.0616
! Formation energy = -0.764 eV/atom
! Mass density = 11.4 Mg/m³
! Spin magnetization = 0.0 μB per cell

=====

6.
! PaCo4P, optimized geometry, DFT PBE-GGA; values from VASP
&SYSTEM
  ibrav = 0, nat = 12, ntyp = 3
/
ATOMIC_SPECIES
Co 58.93 Co.upf
Pa 231.04 Pa.upf
P 30.97 P.upf
CELL_PARAMETERS angstrom
3.6454 0.0000 0.0000
0.0000 6.3671 0.0000
0.0000 0.0000 6.7612
ATOMIC_POSITIONS angstrom
Co 1.8227 4.5063 0.3606
Co 1.8227 4.5063 3.0200
Co 1.8227 6.0740 5.0709
Pa 0.0000 2.2395 1.6903
P 0.0000 5.0224 1.6903
P 0.0000 1.3447 5.0709
Pa 0.0000 4.1276 5.0709
Co 1.8227 1.8608 6.4006
Co 1.8227 1.8608 3.7412
Co 0.0000 0.0000 3.3806
Co 0.0000 0.0000 0.0000
Co 1.8227 0.2931 1.6903
! Formation energy = -0.459 eV/atom
! Mass density = 10.5 Mg/m³
! Spin magnetization = 0.0 μB per cell

=====

7.
! PaCo2P, optimized geometry, DFT PBE-GGA; values from VASP
&SYSTEM
  ibrav = 0, nat = 4, ntyp = 3
/
ATOMIC_SPECIES
Co 58.93 Co.upf
P 30.97 P.upf
Pa 231.04 Pa.upf
CELL_PARAMETERS angstrom
-3.0698 1.5613 1.5941
-0.6525 -0.4587 3.7103
1.2042 4.2462 2.6777
ATOMIC_POSITIONS angstrom
Co -0.3700 1.7489 2.0921
P -1.2591 2.6744 3.9911
Pa 0.0000 0.0000 0.0000
Co -2.1481 3.5998 5.8900
! Formation energy = -0.741 eV/atom
! Energy relative to the lowest polymorph listed for this composition = 0 meV/atom
! Mass density = 10.8 Mg/m³
! Spin magnetization = 0.0 μB per cell

=====

8.
! PaCo4P2, optimized geometry, DFT PBE-GGA; values from VASP
&SYSTEM
  ibrav = 0, nat = 14, ntyp = 3
/
ATOMIC_SPECIES
P 30.97 P.upf
Co 58.93 Co.upf
Pa 231.04 Pa.upf
CELL_PARAMETERS angstrom
3.5641 0.0000 0.0000
0.0000 7.0981 0.0000
0.0000 0.0000 7.0981
ATOMIC_POSITIONS angstrom
P 0.0000 5.5236 1.5744
Co 1.7821 5.9525 2.9507
Co 0.0000 2.4034 0.5983
Pa 0.0000 3.5490 3.5490
Co 0.0000 6.4997 4.6946
P 1.7821 5.1235 5.1235
P 1.7821 1.9746 1.9746
Co 0.0000 0.5983 2.4034
Co 1.7821 4.1474 1.1456
P 0.0000 1.5744 5.5236
Co 0.0000 4.6946 6.4997
Co 1.7821 1.1456 4.1474
Co 1.7821 2.9507 5.9525
Pa 1.7821 0.0000 0.0000
! Formation energy = -0.712 eV/atom
! Energy relative to the lowest polymorph listed for this composition = 0 meV/atom
! Mass density = 9.8 Mg/m³
! Spin magnetization = 2.3 μB per cell